No. 1
VASP calculation (PBE) on a relaxed structure of LiSm2P3Ir4.

Values from the calculation:
total moment: 0.0 μB per formula unit
ΔE_f: -938 meV per atom
raw total energy: -72.4 eV per formula unit
density of states at the Fermi level: 0.31 states/eV per atom
space-group type: P-4m2 (115)

Lattice parameters (Å, degrees): 4.0718 4.0718 9.8840 90.00 90.00 90.00
Positions (direct):
Li  0.0000  0.0000  0.0000
Sm  0.0000  0.5000  0.7558
Sm  0.5000  0.0000  0.2442
P  0.0000  0.5000  0.3616
P  0.5000  0.0000  0.6384
P  0.5000  0.5000  0.0000
Ir  0.0000  0.0000  0.5000
Ir  0.0000  0.5000  0.1300
Ir  0.5000  0.0000  0.8700
Ir  0.5000  0.5000  0.5000

No. 2
VASP calculation (PBE) on a relaxed structure of La2TlCdRu.

Values from the calculation:
total moment: 0.0 μB per formula unit
ΔE_f: -239 meV per atom
relative energy among the computed polymorphs: 3 meV per atom
raw total energy: -23.6 eV per formula unit
density of states at the Fermi level: 1.01 states/eV per atom
space-group type: P4/mmm (123)

Lattice parameters (Å, degrees): 5.3245 5.3245 5.3819 90.00 90.00 90.00
Positions (direct):
La  0.0000  0.5000  0.0000
La  0.5000  0.0000  0.0000
Tl  0.0000  0.0000  0.5000
Cd  0.5000  0.5000  0.5000
Ru  0.5000  0.5000  0.0000

No. 3
VASP calculation (PBE) on a relaxed structure of Na4Hf3PaTe8.

Values from the calculation:
total moment: 1.8 μB per formula unit
raw total energy: -83.0 eV per formula unit
density of states at the Fermi level: 0.53 states/eV per atom
energy relative to the elements, uncorrected: -0.83 eV per atom
space-group type: R-3m (166)

Lattice parameters (Å, degrees): 9.2149 9.2149 9.2149 52.93 52.93 52.93
Positions (direct):
Na  0.0000  0.0000  0.0000
Na  0.0000  0.5000  0.5000
Na  0.5000  0.0000  0.5000
Na  0.5000  0.5000  0.0000
Hf  0.0000  0.0000  0.5000
Hf  0.0000  0.5000  0.0000
Hf  0.5000  0.0000  0.0000
Pa  0.5000  0.5000  0.5000
Te  0.2294  0.7499  0.7499
Te  0.2397  0.2397  0.2397
Te  0.2501  0.2501  0.7706
Te  0.2501  0.7706  0.2501
Te  0.7499  0.2294  0.7499
Te  0.7499  0.7499  0.2294
Te  0.7603  0.7603  0.7603
Te  0.7706  0.2501  0.2501

No. 4
VASP calculation (PBE) on a relaxed structure of Sr6Ag2PN.

Values from the calculation:
total moment: 0.0 μB per formula unit
raw total energy: -34.2 eV per formula unit
density of states at the Fermi level: 0.82 states/eV per atom
energy relative to the elements, uncorrected: -0.46 eV per atom
space-group type: P2_1/c (14)

Lattice parameters (Å, degrees): 7.4412 8.0609 13.1243 90.00 123.77 90.00
Positions (direct):
Sr  0.1421  0.0203  0.2348
Sr  0.1421  0.4797  0.7348
Sr  0.2228  0.7137  0.0461
Sr  0.2228  0.7863  0.5461
Sr  0.3399  0.1826  0.0466
Sr  0.3399  0.3174  0.5466
Sr  0.6601  0.6826  0.4534
Sr  0.6601  0.8174  0.9534
Sr  0.7772  0.2137  0.4539
Sr  0.7772  0.2863  0.9539
Sr  0.8579  0.5203  0.2652
Sr  0.8579  0.9797  0.7652
Ag  0.2810  0.0775  0.7492
Ag  0.2810  0.4225  0.2492
Ag  0.7190  0.5775  0.7508
Ag  0.7190  0.9225  0.2508
P  0.5000  0.0000  0.5000
P  0.5000  0.5000  0.0000
N  0.0000  0.0000  0.0000
N  0.0000  0.5000  0.5000